1.
The following is a PBE-GGA calculation of a relaxed MnBe2Al crystal, from the Alexandria database.

Properties
Formation enthalpy at 0 K = -0.5 eV/f.u.
Volume = 10.6 Å³/atom
Size of the total moment = 1.8 μB per formula unit
E_tot = -5.228 eV per atom

CIF file:
```
data_MnBe2Al
_cell_length_a 3.537
_cell_length_b 3.537
_cell_length_c 3.389
_cell_angle_alpha 90.00
_cell_angle_beta 90.00
_cell_angle_gamma 90.00
_symmetry_space_group_name_H-M 'P 1'
_symmetry_Int_Tables_number 1
_symmetry_space_group_name_Hall 'P 1'
loop_
_atom_site_label
_atom_site_fract_x
_atom_site_fract_y
_atom_site_fract_z
Mn1 0.000 0.000 0.000
Be1 0.000 0.500 0.500
Be2 0.500 0.000 0.500
Al1 0.500 0.500 0.000
```

=====

2.
The following is a PBE-GGA calculation of a relaxed Cd2Sn2As crystal, from the Alexandria database.

Properties
Formation enthalpy at 0 K = 0.9 eV/f.u.
Volume = 26.6 Å³/atom
Energy relative to the lowest polymorph listed for this composition = 0.011 eV per atom
Size of the total moment = 0.0 μB per formula unit
E_tot = -2.719 eV per atom

CIF file:
```
data_Cd2Sn2As
_cell_length_a 7.517
_cell_length_b 7.517
_cell_length_c 4.702
_cell_angle_alpha 90.00
_cell_angle_beta 90.00
_cell_angle_gamma 90.00
_symmetry_space_group_name_H-M 'P 1'
_symmetry_Int_Tables_number 1
_symmetry_space_group_name_Hall 'P 1'
loop_
_atom_site_label
_atom_site_fract_x
_atom_site_fract_y
_atom_site_fract_z
Cd1 0.163 0.337 0.000
Cd2 0.337 0.837 0.000
Cd3 0.663 0.163 0.000
Cd4 0.837 0.663 0.000
Sn1 0.147 0.647 0.500
Sn2 0.353 0.147 0.500
Sn3 0.647 0.853 0.500
Sn4 0.853 0.353 0.500
As1 0.000 0.000 0.500
As2 0.500 0.500 0.500
```

=====

3.
The following is a PBE-GGA calculation of a relaxed Tc3N crystal, from the Alexandria database.

Properties
Volume = 12.5 Å³/atom
Energy relative to the lowest polymorph listed for this composition = 0.217 eV per atom
Size of the total moment = 0.0 μB per formula unit
E_tot = -9.750 eV per atom
Formation energy without anion corrections = 106 meV per atom

CIF file:
```
data_Tc3N
_cell_length_a 4.742
_cell_length_b 4.742
_cell_length_c 4.742
_cell_angle_alpha 145.90
_cell_angle_beta 68.76
_cell_angle_gamma 122.29
_symmetry_space_group_name_H-M 'P 1'
_symmetry_Int_Tables_number 1
_symmetry_space_group_name_Hall 'P 1'
loop_
_atom_site_label
_atom_site_fract_x
_atom_site_fract_y
_atom_site_fract_z
Tc1 0.000 0.000 0.000
Tc2 0.281 0.475 0.806
Tc3 0.669 0.475 0.194
N1 0.335 0.835 0.500
```

=====

4.
The following is a PBE-GGA calculation of a relaxed CdSb2 crystal, from the Alexandria database.

Properties
Volume = 26.4 Å³/atom
Size of the total moment = 0.0 μB per formula unit
E_tot = -2.846 eV per atom
Formation energy without anion corrections = 207 meV per atom

CIF file:
```
data_CdSb2
_cell_length_a 7.876
_cell_length_b 7.876
_cell_length_c 7.876
_cell_angle_alpha 156.24
_cell_angle_beta 156.24
_cell_angle_gamma 33.85
_symmetry_space_group_name_H-M 'P 1'
_symmetry_Int_Tables_number 1
_symmetry_space_group_name_Hall 'P 1'
loop_
_atom_site_label
_atom_site_fract_x
_atom_site_fract_y
_atom_site_fract_z
Cd1 0.000 0.000 0.000
Sb1 0.340 0.340 0.000
Sb2 0.660 0.660 0.000
```